1.
Compound: Ho7Pt2Pb2
Source: the Alexandria database
Functional: PBE-GGA
Structure: relaxed

Calculated values
Fermi-level density of states	0.82	states/eV/atom
space-group type	No. 65
ΔE_f	-0.567	eV/atom

Structure (extended XYZ):
```
11
Lattice="4.199 -5.487 0.000 4.199 5.487 0.000 0.000 0.000 7.110" Properties=species:S:1:pos:R:3 pbc="T T T"
Ho 0.000 0.000 0.000
Ho 2.100 2.743 1.748
Ho 2.100 2.743 5.362
Ho 2.100 -2.743 1.748
Ho 2.100 -2.743 5.362
Ho 4.199 0.000 1.669
Ho 4.199 0.000 5.441
Pt 4.199 2.368 0.000
Pt 4.199 -2.368 0.000
Pb 1.572 0.000 3.555
Pb 6.827 0.000 3.555
```

2.
Compound: TlCu2HCl6
Source: the Alexandria database
Functional: PBE-GGA
Structure: relaxed

Calculated values
Fermi-level density of states	0.23	states/eV/atom
calculated total energy	-3.0566	eV/atom
space-group type	No. 15

Structure (extended XYZ):
```
20
Lattice="7.320 -5.877 0.000 7.320 5.877 0.000 -3.708 0.000 6.645" Properties=species:S:1:pos:R:3 pbc="T T T"
Tl 4.539 4.125 4.983
Tl 6.393 -4.125 1.661
Cu 1.319 0.590 5.623
Cu 3.173 -0.590 2.301
Cu 7.760 0.590 4.344
Cu 9.614 -0.590 1.021
H 6.393 2.152 1.661
H 4.539 -2.152 4.983
Cl -0.449 0.235 4.356
Cl 1.405 -0.235 1.033
Cl 5.831 2.358 0.219
Cl 2.849 0.936 3.957
Cl 6.955 2.358 3.103
Cl 4.703 -0.936 0.634
Cl 6.229 0.936 6.010
Cl 3.977 -2.358 3.541
Cl 8.083 -0.936 2.688
Cl 5.101 -2.358 6.426
Cl 9.528 0.235 5.611
Cl 11.382 -0.235 2.289
```

3.
Compound: UTiIr2
Source: the Alexandria database
Functional: PBE-GGA
Structure: relaxed

Calculated values
Fermi-level density of states	1.26	states/eV/atom
space-group type	No. 123
ΔE_f	-0.647	eV/atom

Structure (extended XYZ):
```
4
Lattice="3.027 0.000 0.000 0.000 3.027 0.000 0.000 0.000 7.417" Properties=species:S:1:pos:R:3 pbc="T T T"
U 0.000 0.000 0.000
Ti 0.000 0.000 3.709
Ir 1.513 1.513 2.113
Ir 1.513 1.513 5.304
```

4.
Compound: DySiPd2
Source: the Alexandria database
Functional: PBE-GGA
Structure: relaxed

Calculated values
Fermi-level density of states	0.44	states/eV/atom
formation energy without anion corrections	-0.81	eV per atom
space-group type	No. 166

Structure (extended XYZ):
```
4
Lattice="2.153 1.243 4.602 -2.153 1.243 4.602 0.000 -2.486 4.602" Properties=species:S:1:pos:R:3 pbc="T T T"
Dy 0.000 0.000 0.000
Si 0.000 0.000 6.903
Pd 0.000 0.000 2.942
Pd 0.000 0.000 10.864
```

5.
Compound: Nb2ZnOs
Source: the Alexandria database
Functional: PBE-GGA
Structure: relaxed

Calculated values
Fermi-level density of states	1.07	states/eV/atom
space-group type	No. 166
ΔE_f	0.343	eV/atom

Structure (extended XYZ):
```
4
Lattice="1.410 0.814 10.216 -1.410 0.814 10.216 0.000 -1.628 10.216" Properties=species:S:1:pos:R:3 pbc="T T T"
Nb 0.000 0.000 2.818
Nb 0.000 0.000 27.829
Zn 0.000 0.000 0.000
Os 0.000 0.000 15.324
```

6.
Compound: CrCoHRu2
Source: the Alexandria database
Functional: PBE-GGA
Structure: relaxed

Calculated values
Fermi-level density of states	0.68	states/eV/atom
calculated total energy	-7.6328	eV/atom
space-group type	No. 123

Structure (extended XYZ):
```
5
Lattice="3.799 0.000 0.000 0.000 3.799 0.000 0.000 0.000 3.698" Properties=species:S:1:pos:R:3 pbc="T T T"
Cr 0.000 0.000 0.000
Co 1.899 1.899 0.000
H 0.000 0.000 1.849
Ru 0.000 1.899 1.849
Ru 1.899 0.000 1.849
```

7.
Compound: PrSmH
Source: the Alexandria database
Functional: PBE-GGA
Structure: relaxed

Calculated values
Fermi-level density of states	0.98	states/eV/atom
calculated total energy	-4.4885	eV/atom
space-group type	No. 156

Structure (extended XYZ):
```
3
Lattice="3.744 0.000 0.000 -1.872 3.243 0.000 0.000 0.000 5.878" Properties=species:S:1:pos:R:3 pbc="T T T"
Pr 0.000 0.000 0.000
Sm 0.000 2.162 2.818
H 1.872 1.081 1.470
```

8.
Compound: PmDy2Ho3Er6
Source: the Alexandria database
Functional: PBE-GGA
Structure: relaxed

Calculated values
Fermi-level density of states	1.33	states/eV/atom
space-group type	No. 12
ΔE_f	0.020	eV/atom

Structure (extended XYZ):
```
12
Lattice="3.056 -5.288 0.000 3.056 5.288 0.000 -2.029 0.000 11.503" Properties=species:S:1:pos:R:3 pbc="T T T"
Pm 0.000 0.000 0.000
Dy 3.056 1.762 0.000
Dy 3.056 -1.762 0.000
Ho 2.041 3.523 5.751
Ho 2.041 0.000 5.751
Ho 2.041 -3.523 5.751
Er 1.026 1.765 2.894
Er 0.005 0.000 8.609
Er 1.026 -1.765 2.894
Er 3.057 1.765 8.608
Er 4.078 0.000 2.894
Er 3.057 -1.765 8.608
```

9.
Compound: Pm8CdPd2
Source: the Alexandria database
Functional: PBE-GGA
Structure: relaxed

Calculated values
Fermi-level density of states	1.28	states/eV/atom
space-group type	No. 8
ΔE_f	-0.242	eV/atom

Structure (extended XYZ):
```
11
Lattice="4.401 -6.970 0.000 4.401 6.970 0.000 -1.563 0.000 5.447" Properties=species:S:1:pos:R:3 pbc="T T T"
Pm 0.000 0.000 0.000
Pm 0.685 1.710 3.345
Pm 3.167 3.381 1.039
Pm 0.685 -1.710 3.345
Pm 4.076 1.709 4.184
Pm 3.167 -3.381 1.039
Pm 4.076 -1.709 4.184
Pm 6.326 0.000 2.081
Cd 3.166 0.000 1.038
Pd 2.378 4.198 3.760
Pd 2.378 -4.198 3.760
```

10.
Compound: CaPm3Tm2Te6
Source: the Alexandria database
Functional: PBE-GGA
Structure: relaxed

Calculated values
Fermi-level density of states	0.48	states/eV/atom
formation energy without anion corrections	-1.37	eV per atom
space-group type	No. 12

Structure (extended XYZ):
```
12
Lattice="9.676 -2.183 0.000 9.676 2.183 0.000 -2.280 0.000 8.637" Properties=species:S:1:pos:R:3 pbc="T T T"
Ca 0.000 0.000 0.000
Pm -1.140 0.000 4.318
Pm 6.118 0.000 1.526
Pm 10.955 0.000 7.110
Tm 4.904 0.000 5.738
Tm 12.169 0.000 2.899
Te 3.029 0.000 0.778
Te 1.966 0.000 4.945
Te 7.851 0.000 6.496
Te 9.222 0.000 2.141
Te 15.107 0.000 3.692
Te 14.044 0.000 7.859
```

11.
Compound: LiTaS4
Source: the Alexandria database
Functional: PBE-GGA
Structure: relaxed

Calculated values
Fermi-level density of states	0.22	states/eV/atom
formation energy without anion corrections	-0.55	eV per atom
space-group type	No. 12

Structure (extended XYZ):
```
12
Lattice="8.262 -2.338 0.000 8.262 2.338 0.000 -3.685 0.000 7.764" Properties=species:S:1:pos:R:3 pbc="T T T"
Li 0.482 0.000 1.744
Li 12.357 0.000 6.020
Ta 0.457 0.000 6.342
Ta 12.382 0.000 1.422
S -1.975 0.000 7.280
S 0.478 0.000 4.119
S 4.129 0.000 1.307
S 2.850 0.000 7.240
S 9.989 0.000 0.524
S 8.710 0.000 6.457
S 12.362 0.000 3.645
S 14.815 0.000 0.484
```

12.
Compound: AcDy2MgTl4
Source: the Alexandria database
Functional: PBE-GGA
Structure: relaxed

Calculated values
Fermi-level density of states	0.68	states/eV/atom
space-group type	No. 166
ΔE_f	-0.279	eV/atom

Structure (extended XYZ):
```
8
Lattice="2.606 1.504 9.979 -2.606 1.504 9.979 0.000 -3.009 9.979" Properties=species:S:1:pos:R:3 pbc="T T T"
Ac 0.000 0.000 0.000
Dy 0.000 0.000 7.016
Dy 0.000 0.000 22.922
Mg 0.000 0.000 14.969
Tl 0.000 0.000 3.804
Tl 0.000 0.000 11.685
Tl 0.000 0.000 18.253
Tl 0.000 0.000 26.134
```

13.
Compound: ScTi2As2
Source: the Alexandria database
Functional: PBE-GGA
Structure: relaxed

Calculated values
Fermi-level density of states	0.55	states/eV/atom
space-group type	No. 127
ΔE_f	-0.904	eV/atom

Structure (extended XYZ):
```
10
Lattice="7.086 0.000 0.000 0.000 7.086 0.000 0.000 0.000 3.428" Properties=species:S:1:pos:R:3 pbc="T T T"
Sc 0.000 0.000 0.000
Sc 3.543 3.543 0.000
Ti 1.055 2.487 1.714
Ti 2.487 6.030 1.714
Ti 4.598 1.055 1.714
Ti 6.030 4.598 1.714
As 1.029 4.572 0.000
As 2.513 1.029 0.000
As 4.572 6.056 0.000
As 6.056 2.513 0.000
```

14.
Compound: TcCl2
Source: the Alexandria database
Functional: PBE-GGA
Structure: relaxed

Calculated values
Fermi-level density of states	0.14	states/eV/atom
formation energy without anion corrections	0.11	eV per atom
space-group type	No. 194

Structure (extended XYZ):
```
6
Lattice="3.758 0.000 0.000 -1.879 3.254 0.000 0.000 0.000 13.836" Properties=species:S:1:pos:R:3 pbc="T T T"
Tc 0.000 0.000 3.459
Tc 0.000 0.000 10.377
Cl 0.000 2.169 1.830
Cl 0.000 2.169 5.088
Cl 1.879 1.085 8.748
Cl 1.879 1.085 12.007
```

15.
Compound: NdTiNbIr2
Source: the Alexandria database
Functional: PBE-GGA
Structure: relaxed

Calculated values
Fermi-level density of states	0.64	states/eV/atom
space-group type	No. 119
ΔE_f	-0.685	eV/atom

Structure (extended XYZ):
```
5
Lattice="-2.200 2.200 5.307 2.200 -2.200 5.307 2.200 2.200 -5.307" Properties=species:S:1:pos:R:3 pbc="T T T"
Nd 0.000 0.000 0.000
Ti 2.200 0.000 2.653
Nb 0.000 2.200 2.653
Ir 0.000 0.000 3.995
Ir 0.000 0.000 6.618
```

16.
Compound: AcTlCuAu
Source: the Alexandria database
Functional: PBE-GGA
Structure: relaxed

Calculated values
Fermi-level density of states	0.95	states/eV/atom
space-group type	No. 216
ΔE_f	-0.307	eV/atom

Structure (extended XYZ):
```
4
Lattice="0.000 3.686 3.686 3.686 0.000 3.686 3.686 3.686 0.000" Properties=species:S:1:pos:R:3 pbc="T T T"
Ac 0.000 0.000 0.000
Tl 3.686 3.686 3.686
Cu 5.528 5.528 5.528
Au 1.843 1.843 1.843
```

17.
Compound: YMg6Sn
Source: the Alexandria database
Functional: PBE-GGA
Structure: relaxed

Calculated values
Fermi-level density of states	0.57	states/eV/atom
space-group type	No. 38
ΔE_f	-0.105	eV/atom

Structure (extended XYZ):
```
8
Lattice="5.092 0.000 0.000 0.000 3.243 5.878 0.000 -3.243 5.878" Properties=species:S:1:pos:R:3 pbc="T T T"
Y 0.000 0.000 0.000
Mg 0.000 -1.551 3.011
Mg 0.000 1.551 3.011
Mg 0.000 0.000 6.136
Mg 2.546 -1.608 7.149
Mg 2.546 0.000 4.295
Mg 2.546 1.608 7.149
Sn 2.546 0.000 9.904
```

18.
Compound: Ac2MgSe
Source: the Alexandria database
Functional: PBE-GGA
Structure: relaxed

Calculated values
Fermi-level density of states	1.14	states/eV/atom
formation energy without anion corrections	-0.73	eV per atom
space-group type	No. 123

Structure (extended XYZ):
```
4
Lattice="3.917 0.000 0.000 0.000 3.917 0.000 0.000 0.000 8.428" Properties=species:S:1:pos:R:3 pbc="T T T"
Ac 0.000 0.000 1.958
Ac 0.000 0.000 6.469
Mg 1.959 1.959 4.214
Se 1.959 1.959 0.000
```

19.
Compound: Zn2PSe
Source: the Alexandria database
Functional: PBE-GGA
Structure: relaxed

Calculated values
Fermi-level density of states	0.11	states/eV/atom
formation energy without anion corrections	-0.27	eV per atom
space-group type	No. 25

Structure (extended XYZ):
```
4
Lattice="3.315 0.000 0.000 0.000 4.081 0.000 0.000 0.000 6.248" Properties=species:S:1:pos:R:3 pbc="T T T"
Zn 0.000 0.000 0.000
Zn 1.658 2.041 2.905
P 0.000 2.041 1.163
Se 1.658 0.000 4.326
```

20.
Compound: In2BiPt
Source: the Alexandria database
Functional: PBE-GGA
Structure: relaxed

Calculated values
Fermi-level density of states	0.47	states/eV/atom
space-group type	No. 122
ΔE_f	-0.008	eV/atom

Structure (extended XYZ):
```
8
Lattice="-2.425 2.425 9.142 2.425 -2.425 9.142 2.425 2.425 -9.142" Properties=species:S:1:pos:R:3 pbc="T T T"
In 3.637 0.850 -2.285
In 0.850 1.212 2.285
In -1.212 1.575 6.856
In 1.575 1.212 11.427
Bi 2.425 0.000 4.571
Bi 0.000 0.000 9.142
Pt 0.000 0.000 0.000
Pt 0.000 2.425 4.571
```

Number 1: volume 29.8 Å³ per atom, total moment 0.0 μB per formula unit. Number 2: volume 28.6 Å³ per atom, total moment 2.0 μB per formula unit. Number 3: volume 17.0 Å³ per atom, total moment 1.6 μB per formula unit. Number 4: volume 18.5 Å³ per atom, total moment 0.0 μB per formula unit. Number 5: volume 17.6 Å³ per atom, total moment 0.0 μB per formula unit. Number 6: volume 10.7 Å³ per atom, total moment 0.3 μB per formula unit. Number 7: volume 23.8 Å³ per atom, total moment 0.0 μB per formula unit. Number 8: volume 31.0 Å³ per atom, total moment 0.0 μB per formula unit. Number 9: volume 30.4 Å³ per atom, total moment 0.0 μB per formula unit. Number 10: volume 30.4 Å³ per atom, total moment 0.0 μB per formula unit. Number 11: volume 25.0 Å³ per atom, total moment 0.0 μB per formula unit. Number 12: volume 29.3 Å³ per atom, total moment 0.0 μB per formula unit. Number 13: volume 17.2 Å³ per atom, total moment 0.0 μB per formula unit. Number 14: volume 28.2 Å³ per atom, total moment 5.0 μB per formula unit. Number 15: volume 20.5 Å³ per atom, total moment 0.0 μB per formula unit. Number 16: volume 25.0 Å³ per atom, total moment 0.0 μB per formula unit. Number 17: volume 24.3 Å³ per atom, total moment 0.0 μB per formula unit. Number 18: volume 32.3 Å³ per atom, total moment 0.0 μB per formula unit. Number 19: volume 21.1 Å³ per atom, total moment 0.0 μB per formula unit. Number 20: volume 26.9 Å³ per atom, total moment 0.0 μB per formula unit.